# Sn2PdRh, relaxed, DFT GGA-PBE
data_Sn2PdRh
_cell_length_a 3.2091
_cell_length_b 3.2091
_cell_length_c 27.6270
_cell_angle_alpha 90.00
_cell_angle_beta 90.00
_cell_angle_gamma 120.00
_symmetry_space_group_name_H-M 'R -3 m'
_symmetry_Int_Tables_number 166
_symmetry_space_group_name_Hall '-R 3 2"'
loop_
_atom_site_label
_atom_site_type_symbol
_atom_site_fract_x
_atom_site_fract_y
_atom_site_fract_z
Sn1 Sn 0.0000 0.0000 0.0940
Pd1 Pd 0.0000 0.0000 0.0000
Rh1 Rh 0.0000 0.0000 0.5000
# E_tot	-5.25	eV/atom
# energy above the lowest structure with this stoichiometry	21.79	kJ per mole of atoms
# calculated formation energy	-0.115	eV/atom
# total magnetic moment	0.00	μB/f.u.